Record 1
Density functional theory data (PBE) for a geometry-optimized MgTaFe2Ge structure.

The structure in POSCAR format:
```
MgTaFe2Ge
1.0
4.436 0.000 0.000
0.000 5.285 0.000
0.000 0.000 4.436
Mg Ge Fe Ta
1 1 2 1
direct
0.000 0.500 0.000 Mg
0.500 0.500 0.500 Ge
0.000 0.000 0.500 Fe
0.500 0.000 0.000 Fe
0.000 0.000 0.000 Ta
```

Output
DOS at the Fermi energy in states/eV per cell: 3.9
Formation energy from the elements in kJ per mole of atoms: 144.34
E in eV/atom: -5.5020
Crystal system: tetragonal

Record 2
Density functional theory data (PBE) for a geometry-optimized Mn2Fe2Ge structure.

The structure in POSCAR format:
```
Mn2Fe2Ge
1.0
-3.418 0.991 -1.940
-3.024 1.837 2.033
-0.640 10.084 2.046
Mn Fe Ge
4 4 2
direct
0.353 0.235 0.559 Mn
0.147 0.265 0.941 Mn
0.647 0.765 0.441 Mn
0.853 0.735 0.059 Mn
0.452 0.738 0.858 Fe
0.952 0.238 0.358 Fe
0.548 0.262 0.142 Fe
0.048 0.762 0.642 Fe
0.250 0.750 0.250 Ge
0.750 0.250 0.750 Ge
```

Output
DOS at the Fermi energy in states/eV per cell: 10.6
Formation energy from the elements in kJ per mole of atoms: 1.04
E in eV/atom: -7.9656
Crystal system: monoclinic
Offset from the most stable computed form in meV/atom: 0

Question: What is the formation energy from the elements in the second record?
Answer: 1.04 kJ per mole of atoms

Question: What is the formation energy from the elements in the first record?
Answer: 144.34 kJ per mole of atoms

Question: Among the records above, which one has the highest formation energy from the elements?
Answer: MgTaFe2Ge